Record 1
Pr6AgIr2I3: optimized geometry, PBE.

POSCAR file:
```
Pr6AgIr2I3
1.0
7.469 -0.001 0.001
-3.734 6.468 0.001
-1.245 -2.155 8.188
Ag Pr I Ir
1 6 3 2
direct
0.000 0.000 0.000
0.295 0.295 0.811
0.421 0.064 0.190
0.579 0.936 0.810
0.936 0.579 0.810
0.064 0.421 0.190
0.705 0.705 0.189
0.165 0.835 0.500
0.500 0.500 0.500
0.835 0.165 0.500
0.333 0.667 0.000
0.667 0.333 0.000
```

DFT total energy: -5.328 eV/atom
formation energy without anion corrections: -836 meV per atom

Record 2
AgSb2IrI: optimized geometry, PBE.

POSCAR file:
```
AgSb2IrI
1.0
-0.430 -4.986 1.627
2.502 -1.630 -4.333
4.730 0.430 2.569
Sb Ir Ag I
2 1 1 1
direct
0.500 0.000 0.000
0.000 0.500 0.000
0.500 0.500 0.500
0.000 0.000 0.000
0.000 0.000 0.500
```

DFT total energy: -2.857 eV/atom
energy relative to the lowest polymorph listed for this composition: 0.8918 eV per atom
formation energy without anion corrections: 1445 meV per atom

Record 3
AgSbIrI2: optimized geometry, PBE.

POSCAR file:
```
AgSbIrI2
1.0
-0.958 -0.634 -5.577
5.603 -0.445 -0.912
-0.290 -4.895 0.606
I Ag Ir Sb
2 1 1 1
direct
0.000 0.500 0.000
0.500 0.000 0.000
0.500 0.500 0.500
0.000 0.000 0.000
0.000 0.000 0.500
```

DFT total energy: -3.281 eV/atom
energy relative to the lowest polymorph listed for this composition: 0.0000 eV per atom
formation energy without anion corrections: 506 meV per atom

Record 4
AgSb2IrI: optimized geometry, PBE.

POSCAR file:
```
AgSb2IrI
1.0
-1.603 2.691 4.034
-4.551 -2.301 -0.274
1.909 -4.200 3.560
Sb Ag Ir I
2 1 1 1
direct
0.500 0.000 0.000
0.000 0.500 0.000
0.500 0.500 0.500
0.000 0.000 0.000
0.000 0.000 0.500
```

DFT total energy: -3.749 eV/atom
energy relative to the lowest polymorph listed for this composition: 0.0000 eV per atom
formation energy without anion corrections: 553 meV per atom